# PmPu2Ir2 (PBE-GGA, relaxed)
# VASP energy	-10.61	eV/atom
# density of states at the Fermi level	14.43	states/eV/f.u.
# volume	25.034	Å³/atom
# total magnetization	20.865	μB/cell
data_PmPu2Ir2
_chemical_formula_sum 'Pm2 Pu4 Ir4'
_cell_length_a 6.002
_cell_length_b 6.937
_cell_length_c 7.576
_cell_angle_alpha 65.76
_cell_angle_beta 66.86
_cell_angle_gamma 64.42
_symmetry_space_group_name_H-M 'P -1'
_symmetry_Int_Tables_number 2
loop_
_symmetry_equiv_pos_as_xyz
'x,y,z'
'-x,-y,-z'
loop_
_atom_site_label
_atom_site_type_symbol
_atom_site_fract_x
_atom_site_fract_y
_atom_site_fract_z
_atom_site_occupancy
Pm1 Pm 0.133 0.250 0.252 1
Pu1 Pu 0.191 0.120 0.777 1
Pu2 Pu 0.415 0.623 0.274 1
Ir1 Ir 0.244 0.669 0.968 1
Ir2 Ir 0.383 0.830 0.534 1


# Pm8PuIr6 (PBE-GGA, relaxed)
# VASP energy	-7.62	eV/atom
# density of states at the Fermi level	16.98	states/eV/f.u.
# volume	25.402	Å³/atom
# total magnetization	16.225	μB/cell
data_Pm8PuIr6
_chemical_formula_sum 'Pm24 Pu3 Ir18'
_cell_length_a 8.4221
_cell_length_b 8.4221
_cell_length_c 18.6085
_cell_angle_alpha 90.00
_cell_angle_beta 90.00
_cell_angle_gamma 120.00
_symmetry_space_group_name_H-M 'R -3'
_symmetry_Int_Tables_number 148
_symmetry_space_group_name_Hall '-R 3'
loop_
_atom_site_label
_atom_site_type_symbol
_atom_site_fract_x
_atom_site_fract_y
_atom_site_fract_z
_atom_site_occupancy
Pm1 Pm 0.0000 0.0000 0.1670 1
Pm2 Pm 0.0008 0.6659 0.2787 1
Pu1 Pu 0.0000 0.0000 0.5000 1
Ir1 Ir 0.0001 0.3279 0.5561 1


# Pm2PuIr9 (PBE-GGA, relaxed)
# VASP energy	-9.11	eV/atom
# density of states at the Fermi level	18.38	states/eV/f.u.
# volume	18.200	Å³/atom
# total magnetization	13.025	μB/cell
data_Pm2PuIr9
_chemical_formula_sum 'Pm6 Pu3 Ir27'
_cell_length_a 5.3381
_cell_length_b 5.3381
_cell_length_c 26.5509
_cell_angle_alpha 90.00
_cell_angle_beta 90.00
_cell_angle_gamma 120.00
_symmetry_space_group_name_H-M 'R -3 m'
_symmetry_Int_Tables_number 166
_symmetry_space_group_name_Hall '-R 3 2"'
loop_
_atom_site_label
_atom_site_type_symbol
_atom_site_fract_x
_atom_site_fract_y
_atom_site_fract_z
_atom_site_occupancy
Pm1 Pm 0.0000 0.0000 0.1395 1
Pu1 Pu 0.0000 0.0000 0.0000 1
Ir1 Ir 0.0000 0.0000 0.3327 1
Ir2 Ir 0.0000 0.0000 0.5000 1
Ir3 Ir 0.0019 0.5010 0.0811 1


# PmPu3Ir2 (PBE-GGA, relaxed)
# energy above the lowest structure with this stoichiometry	0.070	eV/atom
# density of states at the Fermi level	11.99	states/eV/f.u.
# volume	20.893	Å³/atom
# total magnetization	15.191	μB/cell
data_PmPu3Ir2
_chemical_formula_sum 'Pm4 Pu12 Ir8'
_cell_length_a 16.648
_cell_length_b 4.238
_cell_length_c 7.540
_cell_angle_alpha 90.00
_cell_angle_beta 109.51
_cell_angle_gamma 90.00
_symmetry_space_group_name_H-M 'C 1 2/m 1'
_symmetry_Int_Tables_number 12
loop_
_symmetry_equiv_pos_as_xyz
'x,y,z'
'-x,-y,-z'
'-x,y,-z'
'x,-y,z'
'x+1/2,y+1/2,z'
'-x+1/2,-y+1/2,-z'
'-x+1/2,y+1/2,-z'
'x+1/2,-y+1/2,z'
loop_
_atom_site_label
_atom_site_type_symbol
_atom_site_fract_x
_atom_site_fract_y
_atom_site_fract_z
_atom_site_occupancy
Pm1 Pm 0.117 0.000 0.184 1
Pu1 Pu 0.058 0.000 0.648 1
Pu2 Pu 0.123 0.500 0.554 1
Pu3 Pu 0.198 0.500 0.927 1
Ir1 Ir 0.026 0.500 0.858 1
Ir2 Ir 0.243 0.000 0.638 1


# Pm5PuIr4 (PBE-GGA, relaxed)
# VASP energy	-7.91	eV/atom
# density of states at the Fermi level	12.48	states/eV/f.u.
# volume	25.332	Å³/atom
# total magnetization	10.230	μB/cell
data_Pm5PuIr4
_chemical_formula_sum 'Pm10 Pu2 Ir8'
_cell_length_a 15.212
_cell_length_b 4.760
_cell_length_c 6.999
_cell_angle_alpha 90.00
_cell_angle_beta 91.38
_cell_angle_gamma 90.00
_symmetry_space_group_name_H-M 'C 1 2/m 1'
_symmetry_Int_Tables_number 12
loop_
_symmetry_equiv_pos_as_xyz
'x,y,z'
'-x,-y,-z'
'-x,y,-z'
'x,-y,z'
'x+1/2,y+1/2,z'
'-x+1/2,-y+1/2,-z'
'-x+1/2,y+1/2,-z'
'x+1/2,-y+1/2,z'
loop_
_atom_site_label
_atom_site_type_symbol
_atom_site_fract_x
_atom_site_fract_y
_atom_site_fract_z
_atom_site_occupancy
Pm1 Pm 0.000 0.000 0.000 1
Pm2 Pm 0.166 0.500 0.006 1
Pm3 Pm 0.167 0.500 0.503 1
Pu1 Pu 0.000 0.000 0.500 1
Ir1 Ir 0.006 0.500 0.263 1
Ir2 Ir 0.164 0.000 0.751 1


# Pm2PuIr3 (PBE-GGA, relaxed)
# VASP energy	-8.79	eV/atom
# density of states at the Fermi level	5.90	states/eV/f.u.
# volume	23.658	Å³/atom
# total magnetization	16.926	μB/cell
data_Pm2PuIr3
_chemical_formula_sum 'Pm8 Pu4 Ir12'
_cell_length_a 12.421
_cell_length_b 5.738
_cell_length_c 8.475
_cell_angle_alpha 90.00
_cell_angle_beta 109.93
_cell_angle_gamma 90.00
_symmetry_space_group_name_H-M 'C 1 2/c 1'
_symmetry_Int_Tables_number 15
loop_
_symmetry_equiv_pos_as_xyz
'x,y,z'
'-x,-y,-z'
'-x,y,-z+1/2'
'x,-y,z+1/2'
'x+1/2,y+1/2,z'
'-x+1/2,-y+1/2,-z'
'-x+1/2,y+1/2,-z+1/2'
'x+1/2,-y+1/2,z+1/2'
loop_
_atom_site_label
_atom_site_type_symbol
_atom_site_fract_x
_atom_site_fract_y
_atom_site_fract_z
_atom_site_occupancy
Pm1 Pm 0.170 0.001 0.085 1
Pu1 Pu 0.000 0.499 0.250 1
Ir1 Ir 0.000 0.001 0.750 1
Ir2 Ir 0.141 0.499 0.571 1